# PBE-GGA TaCdTc2, optimized geometry
data_TaCdTc2
_chemical_formula_sum 'Ta1 Cd1 Tc2'
_cell_length_a 4.547
_cell_length_b 4.547
_cell_length_c 4.547
_cell_angle_alpha 60.00
_cell_angle_beta 60.00
_cell_angle_gamma 60.00
_space_group_name_H-M_alt 'P 1'
_space_group_IT_number 1
_space_group_name_Hall 'P 1'
loop_
_atom_site_label
_atom_site_type_symbol
_atom_site_fract_x
_atom_site_fract_y
_atom_site_fract_z
_atom_site_occupancy
Cd1 Cd 0.250 0.250 0.250 1
Ta1 Ta 0.500 0.500 0.500 1
Tc1 Tc 0.000 0.000 0.000 1
Tc2 Tc 0.750 0.750 0.750 1
# DFT total energy   -31.730 eV for the cell shown
# ΔE_f   1.74 eV per formula unit